VASP calculation (PBE-GGA) on an optimized crystal structure of TcAg6Br12.

Summary:
raw formation energy	-561.6	kJ/mol of formula units
spin magnetization	1.628	μB per cell
V	32.67	A^3/atom
symmetry	R-3 (148)
crystal system	trigonal

extended XYZ file:
```
19
Lattice="5.712 3.298 5.493 -5.712 3.298 5.493 0.000 -6.595 5.493" Properties=species:S:1:pos:R:3 pbc="T T T"
Tc 0.000 0.000 0.000
Ag -2.802 0.367 5.598
Ag 1.083 -2.610 5.598
Ag -1.719 -2.243 10.880
Ag 1.719 2.243 5.598
Ag -1.083 2.610 10.880
Ag 2.802 -0.367 10.880
Br -5.312 1.284 6.962
Br -3.768 -3.959 9.516
Br -1.293 -1.844 6.431
Br 1.544 -5.243 6.962
Br -0.951 2.041 6.431
Br -2.243 0.197 10.047
Br 2.243 -0.197 6.431
Br 0.951 -2.041 10.047
Br -1.544 5.243 9.516
Br 1.293 1.844 10.047
Br 3.768 3.959 6.962
Br 5.312 -1.284 9.516
```

VASP calculation (PBE-GGA) on an optimized crystal structure of Cs6PdPt.

Summary:
spin magnetization	0.000	μB per cell
V	72.44	A^3/atom
symmetry	Amm2 (38)
crystal system	orthorhombic
E_tot	-32.7	eV for the cell shown

extended XYZ file:
```
16
Lattice="4.918 0.000 0.000 0.000 15.229 0.000 0.000 0.000 15.475" Properties=species:S:1:pos:R:3 pbc="T T T"
Cs 0.000 0.000 0.000
Cs 0.000 2.012 10.435
Cs 0.000 5.602 2.698
Cs 0.000 7.615 7.737
Cs 0.000 9.627 2.698
Cs 0.000 13.217 10.435
Cs 2.459 0.000 4.573
Cs 2.459 3.104 7.019
Cs 2.459 4.510 14.756
Cs 2.459 7.615 12.311
Cs 2.459 10.719 14.756
Cs 2.459 12.125 7.019
Pd 0.000 0.000 7.524
Pd 0.000 7.615 15.262
Pt 2.459 0.000 8.277
Pt 2.459 7.615 0.539
```

VASP calculation (PBE-GGA) on an optimized crystal structure of NiAs2Ru.

Summary:
spin magnetization	0.000	μB per cell
V	14.99	A^3/atom
symmetry	Cm (8)
crystal system	monoclinic
energy relative to the lowest polymorph listed for this composition	42	meV/atom

extended XYZ file:
```
8
Lattice="8.476 0.000 0.000 0.000 3.200 0.000 -1.042 0.000 4.422" Properties=species:S:1:pos:R:3 pbc="T T T"
Ni 0.000 0.000 0.000
Ni 4.238 1.600 0.000
As -0.427 1.600 2.313
As 1.335 0.000 4.160
As 3.811 0.000 2.313
As 5.573 1.600 4.160
Ru 2.037 1.600 1.654
Ru 6.275 0.000 1.654
```

VASP calculation (PBE-GGA) on an optimized crystal structure of NaCo2HgN.

Summary:
raw formation energy	87.1	kJ/mol of formula units
spin magnetization	0.802	μB per cell
V	13.21	A^3/atom
symmetry	P4/mmm (123)
crystal system	tetragonal

extended XYZ file:
```
5
Lattice="3.774 0.000 0.000 0.000 3.774 0.000 0.000 0.000 4.635" Properties=species:S:1:pos:R:3 pbc="T T T"
Na 0.000 0.000 0.000
Co 0.000 1.887 2.317
Co 1.887 0.000 2.317
Hg 1.887 1.887 0.000
N 0.000 0.000 2.317
```

VASP calculation (PBE-GGA) on an optimized crystal structure of MnFe2S4.

Summary:
raw formation energy	116.5	kJ/mol of formula units
spin magnetization	20.650	μB per cell
V	17.85	A^3/atom
symmetry	I4/mmm (139)
crystal system	tetragonal

extended XYZ file:
```
14
Lattice="4.702 0.000 0.000 0.000 4.702 0.000 0.000 0.000 11.308" Properties=species:S:1:pos:R:3 pbc="T T T"
Mn 0.000 0.000 0.000
Mn 2.351 2.351 5.654
Fe 0.000 0.000 4.474
Fe 0.000 0.000 6.834
Fe 2.351 2.351 1.180
Fe 2.351 2.351 10.128
S 0.000 0.000 2.314
S 0.000 0.000 8.994
S 0.000 2.351 0.000
S 0.000 2.351 5.654
S 2.351 0.000 0.000
S 2.351 0.000 5.654
S 2.351 2.351 3.340
S 2.351 2.351 7.968
```

VASP calculation (PBE-GGA) on an optimized crystal structure of CsB9H14.

Summary:
spin magnetization	0.000	μB per cell
V	10.29	A^3/atom
symmetry	P-1 (2)
crystal system	triclinic
E_tot	-225.0	eV for the cell shown

extended XYZ file:
```
48
Lattice="5.794 0.000 0.000 1.217 8.639 0.000 0.940 0.289 9.871" Properties=species:S:1:pos:R:3 pbc="T T T"
Cs 1.175 2.487 2.788
Cs 6.777 6.441 7.083
B 1.525 1.441 7.583
B 1.961 2.990 8.367
B 1.992 2.837 6.583
B 2.480 1.401 9.035
B 2.347 1.164 6.080
B 3.927 8.823 7.608
B 3.344 3.581 7.418
B 3.527 2.865 9.038
B 3.530 2.580 5.769
B 4.421 6.348 4.102
B 4.424 6.063 0.832
B 4.608 5.346 2.453
B 4.025 0.105 2.263
B 5.605 7.764 3.790
B 5.472 7.526 0.836
B 5.960 6.091 3.288
B 5.991 5.937 1.504
B 6.426 7.486 2.288
H 1.210 3.513 5.968
H 1.024 5.232 0.998
H 1.775 7.855 2.234
H 1.147 0.727 0.226
H 1.734 0.718 5.148
H 3.464 7.715 7.751
H 3.268 6.365 3.719
H 3.680 4.726 7.297
H 2.998 3.166 0.121
H 3.551 5.941 1.792
H 2.821 0.092 2.252
H 3.483 3.068 4.669
H 3.804 1.572 9.149
H 4.334 7.712 4.088
H 3.618 1.216 5.783
H 4.148 7.355 0.722
H 4.469 5.859 5.202
H 5.131 8.836 7.619
H 4.400 2.987 8.079
H 4.953 5.761 9.750
H 4.272 4.202 2.574
H 4.683 2.562 6.152
H 4.487 1.213 2.120
H 6.218 8.210 4.723
H 6.805 8.201 9.645
H 6.177 1.073 7.637
H 6.928 3.695 8.873
H 6.742 5.414 3.903
```

VASP calculation (PBE-GGA) on an optimized crystal structure of TmScOs.

Summary:
spin magnetization	0.000	μB per cell
V	23.07	A^3/atom
symmetry	F-43m (216)
crystal system	cubic
energy relative to the lowest polymorph listed for this composition	127	meV/atom

extended XYZ file:
```
12
Lattice="6.517 0.000 0.000 0.000 6.517 0.000 0.000 0.000 6.517" Properties=species:S:1:pos:R:3 pbc="T T T"
Tm 0.000 0.000 0.000
Tm 0.000 3.259 3.259
Tm 3.259 0.000 3.259
Tm 3.259 3.259 0.000
Sc 0.000 0.000 3.259
Sc 0.000 3.259 0.000
Sc 3.259 0.000 0.000
Sc 3.259 3.259 3.259
Os 1.629 1.629 4.888
Os 1.629 4.888 1.629
Os 4.888 1.629 1.629
Os 4.888 4.888 4.888
```

VASP calculation (PBE-GGA) on an optimized crystal structure of RbIn3N.

Summary:
raw formation energy	1013.4	kJ/mol of formula units
spin magnetization	0.000	μB per cell
V	52.54	A^3/atom
symmetry	Pm-3m (221)
crystal system	cubic
energy relative to the lowest polymorph listed for this composition	1505	meV/atom

extended XYZ file:
```
5
Lattice="6.404 0.000 0.000 0.000 6.404 0.000 0.000 0.000 6.404" Properties=species:S:1:pos:R:3 pbc="T T T"
Rb 0.000 0.000 0.000
In 0.000 0.000 3.202
In 0.000 3.202 0.000
In 3.202 0.000 0.000
N 3.202 3.202 3.202
```

VASP calculation (PBE-GGA) on an optimized crystal structure of Nd2SmS3.

Summary:
raw formation energy	-1171.3	kJ/mol of formula units
spin magnetization	0.000	μB per cell
V	23.47	A^3/atom
symmetry	Immm (71)
crystal system	orthorhombic

extended XYZ file:
```
12
Lattice="4.055 0.000 0.000 0.000 5.724 0.000 0.000 0.000 12.136" Properties=species:S:1:pos:R:3 pbc="T T T"
Nd 0.000 0.000 2.040
Nd 0.000 0.000 10.096
Nd 2.028 2.862 4.028
Nd 2.028 2.862 8.108
Sm 0.000 0.000 6.068
Sm 2.028 2.862 0.000
S 0.000 2.862 1.984
S 0.000 2.862 6.068
S 0.000 2.862 10.152
S 2.028 0.000 0.000
S 2.028 0.000 4.084
S 2.028 0.000 8.053
```

VASP calculation (PBE-GGA) on an optimized crystal structure of RbAgBr.

Summary:
raw formation energy	-184.7	kJ/mol of formula units
spin magnetization	0.000	μB per cell
V	34.38	A^3/atom
symmetry	R-3m (166)
crystal system	trigonal

extended XYZ file:
```
18
Lattice="3.772 2.178 12.555 -3.772 2.178 12.555 0.000 -4.356 12.555" Properties=species:S:1:pos:R:3 pbc="T T T"
Rb 0.000 0.000 1.808
Rb 0.000 0.000 6.433
Rb 0.000 0.000 9.868
Rb 0.000 0.000 27.796
Rb 0.000 0.000 31.231
Rb 0.000 0.000 35.856
Ag -1.886 -1.089 12.555
Ag 0.000 0.000 14.322
Ag -1.886 1.089 25.109
Ag 0.000 2.178 12.555
Ag 0.000 0.000 18.832
Ag 0.000 0.000 23.341
Br -1.788 -1.032 20.960
Br 0.000 -2.065 16.704
Br -1.788 1.032 16.704
Br 1.788 -1.032 20.960
Br 0.000 2.065 20.960
Br 1.788 1.032 16.704
```

VASP calculation (PBE-GGA) on an optimized crystal structure of Ba3Th5H12.

Summary:
spin magnetization	0.000	μB per cell
V	18.15	A^3/atom
symmetry	Ia-3d (230)
crystal system	cubic
E_tot	-349.9	eV for the cell shown

extended XYZ file:
```
80
Lattice="-7.134 7.134 7.134 7.134 -7.134 7.134 7.134 7.134 -7.134" Properties=species:S:1:pos:R:3 pbc="T T T"
Ba 3.567 1.783 0.000
Ba 7.134 3.567 -1.783
Ba 1.783 0.000 3.567
Ba 8.917 0.000 3.567
Ba 0.000 3.567 1.783
Ba 3.567 -1.783 7.134
Ba 3.567 8.917 0.000
Ba 7.134 3.567 5.350
Ba -1.783 7.134 3.567
Ba 5.350 7.134 3.567
Ba 0.000 3.567 8.917
Ba 3.567 5.350 7.134
Th 0.000 0.000 0.000
Th 3.567 3.567 -3.567
Th 3.567 -3.567 3.567
Th 7.134 0.000 0.000
Th 10.701 1.783 0.000
Th 7.134 -3.567 5.350
Th 5.350 7.134 -3.567
Th 5.350 0.000 3.567
Th 3.567 5.350 0.000
Th 7.134 3.567 1.783
Th -3.567 3.567 3.567
Th 0.000 7.134 0.000
Th 0.000 0.000 7.134
Th 3.567 3.567 3.567
Th 0.000 3.567 5.350
Th 3.567 1.783 7.134
Th 1.783 7.134 3.567
Th 1.783 0.000 10.701
Th 0.000 10.701 1.783
Th -3.567 5.350 7.134
H 2.144 -0.191 0.880
H 8.557 4.447 -3.758
H 9.278 0.191 0.880
H 8.557 -2.687 3.758
H 6.943 -0.880 2.144
H 10.892 -1.423 2.687
H 0.880 2.144 -0.191
H 9.821 3.376 -1.423
H 4.447 3.758 -1.423
H 6.254 2.144 0.191
H -0.191 0.880 2.144
H 3.758 -1.423 4.447
H 6.943 6.254 -2.144
H 3.758 1.423 2.687
H 4.447 -3.758 8.557
H 6.254 -2.144 6.943
H 2.687 3.758 1.423
H 8.014 4.990 0.191
H 3.758 8.557 -2.687
H 6.943 0.880 4.990
H 2.144 6.943 -0.880
H 8.557 2.687 3.376
H 1.423 2.687 3.758
H 2.144 0.191 6.254
H 4.990 6.943 0.880
H 5.711 4.447 3.376
H -1.423 4.447 3.758
H 4.990 0.191 8.014
H 0.191 6.254 2.144
H 3.376 -1.423 9.821
H -0.880 2.144 6.943
H 4.447 3.376 5.711
H 0.880 9.278 0.191
H 2.687 10.892 -1.423
H 3.376 5.711 4.447
H 0.191 0.880 9.278
H 3.376 8.557 2.687
H 7.325 6.254 4.990
H 0.880 4.990 6.943
H 2.687 3.376 8.557
H -2.687 3.758 8.557
H 6.254 4.990 7.325
H -3.758 8.557 4.447
H 0.191 8.014 4.990
H -1.423 9.821 3.376
H -2.144 6.943 6.254
H -1.423 2.687 10.892
H 4.990 7.325 6.254
```

VASP calculation (PBE-GGA) on an optimized crystal structure of Tb2ScPaS4.

Summary:
raw formation energy	-1421.7	kJ/mol of formula units
spin magnetization	0.000	μB per cell
V	20.41	A^3/atom
symmetry	P2/m (10)
crystal system	monoclinic

extended XYZ file:
```
8
Lattice="6.691 0.000 0.000 0.000 3.839 0.000 -2.187 0.000 6.357" Properties=species:S:1:pos:R:3 pbc="T T T"
Tb 0.000 0.000 0.000
Tb -1.094 1.920 3.178
Sc 2.252 0.000 3.178
Pa 3.345 1.920 0.000
S 0.081 0.000 4.721
S 1.183 1.920 1.662
S 3.321 1.920 4.694
S 4.423 0.000 1.636
```

VASP calculation (PBE-GGA) on an optimized crystal structure of KMg2Cr.

Summary:
spin magnetization	4.604	μB per cell
V	29.26	A^3/atom
symmetry	Pm (6)
crystal system	monoclinic
energy relative to the lowest polymorph listed for this composition	67	meV/atom

extended XYZ file:
```
4
Lattice="3.223 0.000 0.000 0.000 4.323 0.000 -0.031 0.000 8.400" Properties=species:S:1:pos:R:3 pbc="T T T"
K 0.000 0.000 0.000
Mg 0.002 0.000 4.563
Mg 1.603 2.161 2.836
Cr 1.609 2.161 5.748
```

VASP calculation (PBE-GGA) on an optimized crystal structure of Nd5Al4Cd.

Summary:
spin magnetization	0.000	μB per cell
V	26.49	A^3/atom
symmetry	P4/mmm (123)
crystal system	tetragonal
E_tot	-43.2	eV for the cell shown

extended XYZ file:
```
10
Lattice="3.723 0.000 0.000 0.000 3.723 0.000 0.000 0.000 19.110" Properties=species:S:1:pos:R:3 pbc="T T T"
Nd 0.000 0.000 0.000
Nd 0.000 0.000 3.722
Nd 0.000 0.000 7.474
Nd 0.000 0.000 11.636
Nd 0.000 0.000 15.388
Al 1.861 1.861 1.859
Al 1.861 1.861 5.629
Al 1.861 1.861 13.481
Al 1.861 1.861 17.251
Cd 1.861 1.861 9.555
```

VASP calculation (PBE-GGA) on an optimized crystal structure of Na3YTe.

Summary:
raw formation energy	384.3	kJ/mol of formula units
spin magnetization	1.984	μB per cell
V	48.89	A^3/atom
symmetry	Pm-3m (221)
crystal system	cubic
energy relative to the lowest polymorph listed for this composition	693	meV/atom

extended XYZ file:
```
5
Lattice="6.253 0.000 0.000 0.000 6.253 0.000 0.000 0.000 6.253" Properties=species:S:1:pos:R:3 pbc="T T T"
Na 0.000 0.000 3.126
Na 0.000 3.126 0.000
Na 3.126 0.000 0.000
Y 0.000 0.000 0.000
Te 3.126 3.126 3.126
```

VASP calculation (PBE-GGA) on an optimized crystal structure of Pm12Er6In.

Summary:
spin magnetization	0.000	μB per cell
V	33.33	A^3/atom
symmetry	R-3 (148)
crystal system	trigonal
energy relative to the lowest polymorph listed for this composition	22	meV/atom

extended XYZ file:
```
19
Lattice="6.540 3.776 4.273 -6.540 3.776 4.273 0.000 -7.552 4.273" Properties=species:S:1:pos:R:3 pbc="T T T"
Pm -1.690 -4.609 4.277
Pm -2.662 -1.533 5.678
Pm -3.147 3.768 4.277
Pm -4.837 -0.841 8.543
Pm -0.003 -3.072 7.142
Pm -2.659 1.539 7.142
Pm 2.659 -1.539 5.678
Pm 0.003 3.072 5.678
Pm 4.837 0.841 4.277
Pm 3.147 -3.768 8.543
Pm 2.662 1.533 7.142
Pm 1.690 4.610 8.543
Er -1.763 1.008 2.895
Er 0.008 -2.030 2.895
Er 1.754 1.022 2.895
Er -1.754 -1.022 9.925
Er -0.008 2.030 9.925
Er 1.763 -1.008 9.925
In 0.000 0.000 0.000
```